[1]
VASP calculation (PBE-GGA) on a geometry-optimized La2Co3As4Pd structure.

Values from the calculation:
energy relative to the elements	-0.82	eV per atom

abc: 4.2639 4.2639 9.6673
angles: 90.00 90.00 90.00
With the nearest neighbours (Å) after each atom.
Space group P-4m2 (No. 115)
Asymmetric unit:
La (0.0000, 0.5000, 0.2432) (multiplicity 2)  8 As 3.17-3.20, 7 Co 3.27-3.40, 2 Pd 3.27
Co (0.0000, 0.5000, 0.8911) (multiplicity 2)  5 As 2.37-2.38
Co (0.5000, 0.5000, 0.5000) (multiplicity 1)  4 As 2.55
As (0.0000, 0.0000, 0.0000) (multiplicity 1)  4 Co 2.38
As (0.0000, 0.5000, 0.6454) (multiplicity 2)  3 Co 2.37-2.55, 2 Pd 2.55
As (0.5000, 0.5000, 0.0000) (multiplicity 1)  4 Co 2.38
Pd (0.0000, 0.0000, 0.5000) (multiplicity 1)  4 As 2.55

=====

[2]
VASP calculation (PBE-GGA) on a geometry-optimized La2CoAs4Rh3 structure.

Values from the calculation:
energy relative to the elements	-0.91	eV per atom

abc: 4.3348 4.3348 9.9057
angles: 90.00 90.00 90.00
With the nearest neighbours (Å) after each atom.
Space group P-4m2 (No. 115)
Asymmetric unit:
La (0.0000, 0.5000, 0.2501) (multiplicity 2)  2 Co 3.29, 7 Rh 3.29-3.68, 8 As 3.29-3.30
Co (0.0000, 0.0000, 0.5000) (multiplicity 1)  4 As 2.51
As (0.0000, 0.0000, 0.0000) (multiplicity 1)  4 Rh 2.48
As (0.0000, 0.5000, 0.6271) (multiplicity 2)  3 Rh 2.49-2.51, 2 Co 2.51
As (0.5000, 0.5000, 0.0000) (multiplicity 1)  4 Rh 2.48
Rh (0.0000, 0.5000, 0.8782) (multiplicity 2)  5 As 2.48-2.49
Rh (0.5000, 0.5000, 0.5000) (multiplicity 1)  4 As 2.51

=====

[3]
VASP calculation (PBE-GGA) on a geometry-optimized LaCoAs2Rh structure.

Values from the calculation:
energy relative to the elements	-0.81	eV per atom

abc: 4.1642 4.1642 10.6216
angles: 90.00 90.00 90.00
With the nearest neighbours (Å) after each atom.
Space group I-4m2 (No. 119)
Asymmetric unit:
La (0.0000, 0.0000, 0.0000) (multiplicity 2)  8 As 3.26, 4 Co 3.37, 4 Rh 3.37
Co (0.0000, 0.5000, 0.2500) (multiplicity 2)  4 As 2.43
As (0.0000, 0.0000, 0.3686) (multiplicity 4)  2 Co 2.43, 2 Rh 2.43
Rh (0.0000, 0.5000, 0.7500) (multiplicity 2)  4 As 2.43

=====

[4]
VASP calculation (PBE-GGA) on a geometry-optimized La2Co3As4Ru structure.

Values from the calculation:
energy relative to the elements	-0.78	eV per atom

abc: 4.2174 4.2174 9.6627
angles: 90.00 90.00 90.00
With the nearest neighbours (Å) after each atom.
Space group P-4m2 (No. 115)
Asymmetric unit:
La (0.0000, 0.5000, 0.2419) (multiplicity 2)  8 As 3.15-3.20, 7 Co 3.23-3.43, 2 Ru 3.27
Co (0.0000, 0.5000, 0.8868) (multiplicity 2)  5 As 2.38-2.41
Co (0.5000, 0.5000, 0.5000) (multiplicity 1)  4 As 2.49
As (0.0000, 0.0000, 0.0000) (multiplicity 1)  4 Co 2.38
As (0.0000, 0.5000, 0.6375) (multiplicity 2)  3 Co 2.41-2.49, 2 Ru 2.49
As (0.5000, 0.5000, 0.0000) (multiplicity 1)  4 Co 2.38
Ru (0.0000, 0.0000, 0.5000) (multiplicity 1)  4 As 2.49

=====

[5]
VASP calculation (PBE-GGA) on a geometry-optimized LaCoSnAs2 structure.

Values from the calculation:
energy relative to the elements	0.84	eV per atom

abc: 5.6525 5.6525 4.8028
angles: 90.00 90.00 90.00
With the nearest neighbours (Å) after each atom.
Space group P4/mmm (No. 123)
Asymmetric unit:
La (0.0000, 0.0000, 0.0000) (multiplicity 1)  2 Co 2.40
Co (0.0000, 0.0000, 0.5000) (multiplicity 1)  2 La 2.40
Sn (0.5000, 0.5000, 0.5000) (multiplicity 1)  8 As 3.71, 4 Co 4.00
As (0.0000, 0.5000, 0.0000) (multiplicity 2)  2 La 2.83

=====

[6]
VASP calculation (PBE-GGA) on a geometry-optimized La2CoTeAs structure.

Values from the calculation:
uncorrected formation energy	2.4	eV/f.u.

abc: 5.9535 5.9535 5.3248
angles: 90.00 90.00 90.00
With the nearest neighbours (Å) after each atom.
Space group P4/mmm (No. 123)
Asymmetric unit:
La (0.0000, 0.5000, 0.0000) (multiplicity 2)  2 Te 2.98
Co (0.0000, 0.0000, 0.5000) (multiplicity 1)  8 La 3.99, 4 As 4.21
Te (0.5000, 0.5000, 0.0000) (multiplicity 1)  2 As 2.66, 4 La 2.98
As (0.5000, 0.5000, 0.5000) (multiplicity 1)  2 Te 2.66

=====

The records above give, respectively, DOS at the Fermi energy values of 0.5212 0.5602 0.5927 0.5992 1.0274 0.9376 states/eV per atom.
The records above give, respectively, total moment values of 1.185 1.314 1.470 0.000 2.031 1.450 μB per formula unit.
The records above give, respectively, uncorrected energy values of -63.21 -66.69 -65.51 -66.81 -21.14 -22.39 eV for the cell shown.